{
  "formula": "Ga2CoReMo",
  "functional": "PBE-GGA",
  "state": "optimized geometry",
  "cell": [[-0.325, 3.686, -2.204], [-4.378, -0.853, -0.781], [-1.050, 2.075, 3.625]],
  "species": ["Mo", "Co", "Re", "Ga", "Ga"],
  "fractional_positions": [[0.500, 0.500, 0.500], [0.000, 0.000, 0.000], [0.000, 0.500, 0.000], [0.000, 0.000, 0.500], [0.500, 0.000, 0.000]],
  "formation_enthalpy_0k_ev_per_atom": 0.941
}